CaTcTe2 | GGA-PBE | relaxed

Calculated values
Total moment   0.3 μB per cell
Space-group type   Cmmm
Excess energy over the best structure of this formula in the dataset   1.28 eV/f.u.

POSCAR file:
```
CaTcTe2
1.0
3.488 0.042 0.000
-0.351 3.470 0.000
0.000 0.000 7.566
Te Tc Ca
2 1 1
Direct
0.000 0.000 0.536
0.000 0.000 0.964
0.500 0.500 0.750
0.500 0.500 0.250
```